No. 1
First-principles (meta-GGA SCAN) data for a PBEsol-optimized structure of HoCdAu, as listed in the Alexandria database.

The calculation puts the formation energy at -0.8388 eV per atom.

The structure belongs to space group P-62m (No. 189); the cell edges are 7.5978, 7.5978 and 3.8759 Å and the angles 90.00°, 90.00° and 120.00°. The asymmetric unit holds Ho at (0.0000, 0.4035, 0.0000), Cd at (0.0000, 0.7386, 0.5000), Au at (0.0000, 0.0000, 0.0000) and Au at (0.3333, 0.6667, 0.5000).


No. 2
First-principles (meta-GGA SCAN) data for a PBEsol-optimized structure of HoCdAu2, as listed in the Alexandria database.

The calculation puts the formation energy at -0.8239 eV per atom.

The structure belongs to space group Fm-3m (No. 225); the cell edges are 6.815, 6.815 and 6.815 Å and the angles 90.00°, 90.00° and 90.00°. The asymmetric unit holds Ho at (0.000, 0.000, 0.000), Cd at (0.000, 0.000, 0.500) and Au at (0.250, 0.250, 0.250).


No. 3
First-principles (meta-GGA SCAN) data for a PBEsol-optimized structure of RbCdAu2I, as listed in the Alexandria database.

The value obtained for the formation energy from raw total energies is 0.230 eV per atom.

The structure belongs to space group P4/mmm (No. 123); the cell edges are 5.480, 5.480 and 6.516 Å and the angles 90.00°, 90.00° and 90.00°. The asymmetric unit holds Rb at (0.000, 0.000, 0.000), Cd at (0.500, 0.500, 0.000), Au at (0.000, 0.500, 0.500) and I at (0.000, 0.000, 0.500).


No. 4
First-principles (meta-GGA SCAN) data for a PBEsol-optimized structure of CdTeAuI2, as listed in the Alexandria database.

The value obtained for the formation energy from raw total energies is 0.241 eV per atom.

The structure belongs to space group P4/mmm (No. 123); the cell edges are 5.456, 5.456 and 5.526 Å and the angles 90.00°, 90.00° and 90.00°. The asymmetric unit holds Cd at (0.000, 0.000, 0.000), Te at (0.500, 0.500, 0.000), Au at (0.500, 0.500, 0.500) and I at (0.000, 0.500, 0.500).


No. 5
First-principles (meta-GGA SCAN) data for a PBEsol-optimized structure of CdInAu2, as listed in the Alexandria database.

The calculation puts the formation energy at -0.1803 eV per atom.

The structure belongs to space group P4/mmm (No. 123); the cell edges are 4.621, 4.621 and 3.521 Å and the angles 90.00°, 90.00° and 90.00°. The asymmetric unit holds Cd at (0.000, 0.000, 0.000), In at (0.500, 0.500, 0.000) and Au at (0.000, 0.500, 0.500).


No. 6
First-principles (meta-GGA SCAN) data for a PBEsol-optimized structure of CdInAu2, as listed in the Alexandria database.

The calculation puts the formation energy at -0.1887 eV per atom.

The structure belongs to space group Cmmm (No. 65); the cell edges are 5.993, 7.160 and 3.521 Å and the angles 90.00°, 90.00° and 90.00°. The asymmetric unit holds Cd at (0.000, 0.000, 0.000), In at (0.000, 0.500, 0.000) and Au at (0.250, 0.250, 0.500).


No. 7
First-principles (meta-GGA SCAN) data for a PBEsol-optimized structure of CdInAu2, as listed in the Alexandria database.

The calculation puts the formation energy at -0.1911 eV per atom.

The structure belongs to space group Pm (No. 6); the cell edges are 3.148, 4.687 and 5.073 Å and the angles 90.00°, 90.11° and 90.00°. The asymmetric unit holds Cd at (0.000, 0.000, 0.000), In at (0.998, 0.500, 0.389), Au at (0.498, 0.000, 0.511) and Au at (0.500, 0.500, 0.881).


No. 8
First-principles (meta-GGA SCAN) data for a PBEsol-optimized structure of Cd2InAu, as listed in the Alexandria database.

The calculation puts the formation energy at -0.0692 eV per atom.

The structure belongs to space group I4/mmm (No. 139); the cell edges are 4.284, 4.284 and 8.751 Å and the angles 90.00°, 90.00° and 90.00°. The asymmetric unit holds Cd at (0.000, 0.500, 0.250), In at (0.000, 0.000, 0.000) and Au at (0.000, 0.000, 0.500).


Number 1: calculated volume 21.530 A^3/atom, total DFT energy (no corrections) -50.36 eV/atom, density 12.19 g/cm³. Number 2: calculated volume 19.781 A^3/atom, total DFT energy (no corrections) -55.25 eV/atom, density 14.09 g/cm³. Number 3: calculated volume 39.137 A^3/atom, total DFT energy (no corrections) -45.01 eV/atom, density 6.10 g/cm³. Number 4: calculated volume 32.893 A^3/atom, total DFT energy (no corrections) -41.82 eV/atom, density 6.97 g/cm³. Number 5: calculated volume 18.794 A^3/atom, total DFT energy (no corrections) -50.71 eV/atom, density 13.72 g/cm³. Number 6: calculated volume 18.886 A^3/atom, total DFT energy (no corrections) -50.72 eV/atom, density 13.65 g/cm³. Number 7: calculated volume 18.713 A^3/atom, total DFT energy (no corrections) -50.72 eV/atom, density 13.78 g/cm³. Number 8: calculated volume 20.072 A^3/atom, total DFT energy (no corrections) -40.91 eV/atom, density 11.10 g/cm³.